No. 1
# KNiN2 (PBE, optimized geometry)
# **V**: 14.69 A^3/atom
# **Magnetization**: 0.0 μB per formula unit
# **Calculated total energy**: -5.325 eV/atom
# **Calculated density**: 3.555 Mg/m³
# **Crystal system**: tetragonal
data_KNiN2
_space_group_name_H-M_alt 'I -4 2 d'
_space_group_IT_number 122
_space_group_name_Hall 'I -4 2bw'
_cell_length_a 5.6913
_cell_length_b 5.6913
_cell_length_c 7.2566
_cell_angle_alpha 90.00
_cell_angle_beta 90.00
_cell_angle_gamma 90.00
loop_
_atom_site_label
_atom_site_fract_x
_atom_site_fract_y
_atom_site_fract_z
_atom_site_occupancy
K1 0.0000 0.0000 0.0000 1
Ni1 0.0000 0.0000 0.5000 1
N1 0.1088 0.2500 0.6250 1


No. 2
# Tl3PtN (PBE, optimized geometry)
# **V**: 22.69 A^3/atom
# **Magnetization**: 0.0 μB per formula unit
# **Calculated total energy**: -3.508 eV/atom
# **Calculated density**: 12.036 Mg/m³
# **Crystal system**: cubic
data_Tl3PtN
_space_group_name_H-M_alt 'P m -3 m'
_space_group_IT_number 221
_space_group_name_Hall '-P 4 2 3'
_cell_length_a 4.8409
_cell_length_b 4.8409
_cell_length_c 4.8409
_cell_angle_alpha 90.00
_cell_angle_beta 90.00
_cell_angle_gamma 90.00
loop_
_atom_site_label
_atom_site_fract_x
_atom_site_fract_y
_atom_site_fract_z
_atom_site_occupancy
Tl1 0.0000 0.0000 0.5000 1
Pt1 0.5000 0.5000 0.5000 1
N1 0.0000 0.0000 0.0000 1


No. 3
# ReIr3Rh (PBE, optimized geometry)
# **ΔH_f (0 K)**: -0.097 eV per atom
# **V**: 14.56 A^3/atom
# **Magnetization**: 0.0 μB per formula unit
# **Calculated total energy**: -9.374 eV/atom
# **Calculated density**: 19.747 Mg/m³
# **Crystal system**: monoclinic
data_ReIr3Rh
_space_group_name_H-M_alt 'C 1 2/m 1'
_space_group_IT_number 12
_space_group_name_Hall '-C 2y'
_cell_length_a 16.7967
_cell_length_b 2.7577
_cell_length_c 6.5255
_cell_angle_alpha 90.00
_cell_angle_beta 105.54
_cell_angle_gamma 90.00
loop_
_atom_site_label
_atom_site_fract_x
_atom_site_fract_y
_atom_site_fract_z
_atom_site_occupancy
Re1 0.2172 0.0000 0.3170 1
Ir1 0.0860 0.5000 0.0950 1
Ir2 0.1184 0.5000 0.5207 1
Ir3 0.1837 0.0000 0.8819 1
Rh1 0.0163 0.0000 0.7214 1


Repeat the first record exactly.
# KNiN2 (PBE, optimized geometry)
# **V**: 14.69 A^3/atom
# **Magnetization**: 0.0 μB per formula unit
# **Calculated total energy**: -5.325 eV/atom
# **Calculated density**: 3.555 Mg/m³
# **Crystal system**: tetragonal
data_KNiN2
_space_group_name_H-M_alt 'I -4 2 d'
_space_group_IT_number 122
_space_group_name_Hall 'I -4 2bw'
_cell_length_a 5.6913
_cell_length_b 5.6913
_cell_length_c 7.2566
_cell_angle_alpha 90.00
_cell_angle_beta 90.00
_cell_angle_gamma 90.00
loop_
_atom_site_label
_atom_site_fract_x
_atom_site_fract_y
_atom_site_fract_z
_atom_site_occupancy
K1 0.0000 0.0000 0.0000 1
Ni1 0.0000 0.0000 0.5000 1
N1 0.1088 0.2500 0.6250 1


The lowest calculated density belongs to which entry?
KNiN2


Look up the magnetization of the second one.
0.0 μB per formula unit